## Zr4WCl (GGA-PBE)

Data for crystalline Zr4WCl at its relaxed geometry.

Summary:
The energy comes out at -7.337 eV per atom. Its mass density is 7.34 g/cm3. The total magnetic moment is 0.000 μB/atom. For the density of states at the Fermi level, the calculation gives 1.056 states/eV/atom. The crystal system is cubic.

Lattice parameters (Å, degrees): 5.719 5.719 5.719 60.00 60.00 60.00
Element x y z (fractional)
Zr 0.378 0.378 0.378
Zr 0.378 0.378 0.865
Zr 0.378 0.865 0.378
Zr 0.865 0.378 0.378
W 0.750 0.750 0.750
Cl 0.000 0.000 0.000

## Zr2WCl (GGA-PBE)

Data for crystalline Zr2WCl at its relaxed geometry.

Summary:
The energy comes out at -8.367 eV per atom. Its mass density is 7.21 g/cm3. The total magnetic moment is 0.000 μB/atom. Its energy above the most stable polymorph in this dataset is 47 meV/atom. For the density of states at the Fermi level, the calculation gives 0.462 states/eV/atom. The crystal system is monoclinic.

Lattice parameters (Å, degrees): 4.751 4.688 8.377 90.00 97.12 90.00
Element x y z (fractional)
Zr 0.038 0.000 0.195
Zr 0.462 0.500 0.805
Zr 0.538 0.500 0.195
Zr 0.962 0.000 0.805
W 0.000 0.500 0.000
W 0.500 0.000 0.000
Cl 0.000 0.000 0.500
Cl 0.500 0.500 0.500

## Zr2WCl (GGA-PBE)

Data for crystalline Zr2WCl at its relaxed geometry.

Summary:
The energy comes out at -7.829 eV per atom. Its mass density is 8.63 g/cm3. The total magnetic moment is 0.000 μB/atom. Its energy above the most stable polymorph in this dataset is 584 meV/atom. For the density of states at the Fermi level, the calculation gives 1.284 states/eV/atom. The crystal system is tetragonal.

Lattice parameters (Å, degrees): 4.901 4.901 3.220 90.00 90.00 90.00
Element x y z (fractional)
Zr 0.000 0.500 0.000
Zr 0.500 0.000 0.000
W 0.000 0.000 0.500
Cl 0.500 0.500 0.500

## Zr2WCl (GGA-PBE)

Data for crystalline Zr2WCl at its relaxed geometry.

Summary:
The energy comes out at -7.668 eV per atom. Its mass density is 8.39 g/cm3. The total magnetic moment is 0.000 μB/atom. Its energy above the most stable polymorph in this dataset is 745 meV/atom. For the density of states at the Fermi level, the calculation gives 1.037 states/eV/atom. The crystal system is orthorhombic.

Lattice parameters (Å, degrees): 3.487 5.482 8.318 90.00 90.00 90.00
Element x y z (fractional)
Zr 0.000 0.000 0.234
Zr 0.000 0.000 0.766
Zr 0.500 0.500 0.266
Zr 0.500 0.500 0.734
W 0.000 0.500 0.000
W 0.500 0.000 0.500
Cl 0.000 0.500 0.500
Cl 0.500 0.000 0.000

## Zr2WCl (GGA-PBE)

Data for crystalline Zr2WCl at its relaxed geometry.

Summary:
The energy comes out at -7.944 eV per atom. Its mass density is 8.54 g/cm3. The total magnetic moment is 0.000 μB/atom. Its energy above the most stable polymorph in this dataset is 469 meV/atom. For the density of states at the Fermi level, the calculation gives 0.660 states/eV/atom. The crystal system is monoclinic.

Lattice parameters (Å, degrees): 10.334 3.192 4.771 90.00 96.62 90.00
Element x y z (fractional)
Zr 0.000 0.000 0.000
Zr 0.216 0.500 0.573
Zr 0.500 0.500 0.000
Zr 0.716 0.000 0.573
W 0.260 0.000 0.071
W 0.760 0.500 0.071
Cl 0.455 0.000 0.542
Cl 0.955 0.500 0.542

## Zr2WCl (GGA-PBE)

Data for crystalline Zr2WCl at its relaxed geometry.

Summary:
The energy comes out at -8.232 eV per atom. Its mass density is 8.51 g/cm3. The total magnetic moment is 0.000 μB/atom. Its energy above the most stable polymorph in this dataset is 181 meV/atom. For the density of states at the Fermi level, the calculation gives 0.929 states/eV/atom. The crystal system is orthorhombic.

Lattice parameters (Å, degrees): 3.513 5.105 8.741 90.00 90.00 90.00
Element x y z (fractional)
Zr 0.000 0.000 0.242
Zr 0.000 0.000 0.758
Zr 0.500 0.500 0.242
Zr 0.500 0.500 0.758
W 0.000 0.500 0.000
W 0.500 0.000 0.000
Cl 0.000 0.500 0.500
Cl 0.500 0.000 0.500

## ZrWCl (GGA-PBE)

Data for crystalline ZrWCl at its relaxed geometry.

Summary:
The energy comes out at -7.387 eV per atom. Its mass density is 9.55 g/cm3. The total magnetic moment is 0.000 μB/atom. Its energy above the most stable polymorph in this dataset is 301 meV/atom. For the density of states at the Fermi level, the calculation gives 0.988 states/eV/atom. The crystal system is trigonal.

Lattice parameters (Å, degrees): 4.612 4.612 2.930 90.00 90.00 120.00
Element x y z (fractional)
Zr 0.000 0.000 0.000
W 0.333 0.667 0.448
Cl 0.667 0.333 0.431

## ZrWCl3 (GGA-PBE)

Data for crystalline ZrWCl3 at its relaxed geometry.

Summary:
The energy comes out at -4.793 eV per atom. Its mass density is 5.55 g/cm3. The total magnetic moment is 0.152 μB/atom. Its energy above the most stable polymorph in this dataset is 280 meV/atom. For the density of states at the Fermi level, the calculation gives 1.096 states/eV/atom. The crystal system is cubic.

Lattice parameters (Å, degrees): 4.851 4.851 4.851 90.00 90.00 90.00
Element x y z (fractional)
Zr 0.000 0.000 0.000
W 0.500 0.500 0.500
Cl 0.000 0.500 0.500
Cl 0.500 0.000 0.500
Cl 0.500 0.500 0.000

## Zr3WCl (GGA-PBE)

Data for crystalline Zr3WCl at its relaxed geometry.

Summary:
The energy comes out at -7.258 eV per atom. Its mass density is 5.90 g/cm3. The total magnetic moment is 0.000 μB/atom. Its energy above the most stable polymorph in this dataset is 434 meV/atom. For the density of states at the Fermi level, the calculation gives 1.993 states/eV/atom. The crystal system is cubic.

Lattice parameters (Å, degrees): 5.176 5.176 5.176 90.00 90.00 90.00
Element x y z (fractional)
Zr 0.000 0.000 0.500
Zr 0.000 0.500 0.000
Zr 0.500 0.000 0.000
W 0.000 0.000 0.000
Cl 0.500 0.500 0.500

## Zr3WCl (GGA-PBE)

Data for crystalline Zr3WCl at its relaxed geometry.

Summary:
The energy comes out at -7.692 eV per atom. Its mass density is 7.74 g/cm3. The total magnetic moment is 0.000 μB/atom. Its energy above the most stable polymorph in this dataset is 0 meV/atom. For the density of states at the Fermi level, the calculation gives 1.539 states/eV/atom. The crystal system is cubic.

Lattice parameters (Å, degrees): 4.730 4.730 4.730 90.00 90.00 90.00
Element x y z (fractional)
Zr 0.000 0.000 0.500
Zr 0.000 0.500 0.000
Zr 0.500 0.000 0.000
W 0.500 0.500 0.500
Cl 0.000 0.000 0.000

## Zr2WCl (GGA-PBE)

Data for crystalline Zr2WCl at its relaxed geometry.

Summary:
The energy comes out at -8.018 eV per atom. Its mass density is 8.28 g/cm3. The total magnetic moment is 0.000 μB/atom. Its energy above the most stable polymorph in this dataset is 396 meV/atom. For the density of states at the Fermi level, the calculation gives 0.852 states/eV/atom. The crystal system is monoclinic.

Lattice parameters (Å, degrees): 3.098 5.219 5.083 90.00 101.56 90.00
Element x y z (fractional)
Zr 0.000 0.000 0.000
Zr 0.227 0.500 0.523
W 0.694 0.500 0.048
Cl 0.293 0.000 0.554

## ZrWCl (GGA-PBE)

Data for crystalline ZrWCl at its relaxed geometry.

Summary:
The energy comes out at -7.646 eV per atom. Its mass density is 7.48 g/cm3. The total magnetic moment is 0.000 μB/atom. Its energy above the most stable polymorph in this dataset is 43 meV/atom. For the density of states at the Fermi level, the calculation gives 0.901 states/eV/atom. The crystal system is tetragonal.

Lattice parameters (Å, degrees): 2.904 2.904 16.347 90.00 90.00 90.00
Element x y z (fractional)
Zr 0.000 0.000 0.000
Zr 0.500 0.500 0.500
W 0.000 0.000 0.636
W 0.500 0.500 0.136
Cl 0.000 0.000 0.391
Cl 0.500 0.500 0.891

## ZrWCl (GGA-PBE)

Data for crystalline ZrWCl at its relaxed geometry.

Summary:
The energy comes out at -7.685 eV per atom. Its mass density is 8.25 g/cm3. The total magnetic moment is 0.000 μB/atom. Its energy above the most stable polymorph in this dataset is 3 meV/atom. For the density of states at the Fermi level, the calculation gives 1.015 states/eV/atom. The crystal system is trigonal.

Lattice parameters (Å, degrees): 3.024 3.024 7.895 90.00 90.00 120.00
Element x y z (fractional)
Zr 0.000 0.000 0.000
W 0.333 0.667 0.684
Cl 0.667 0.333 0.240

## Zr2WCl (GGA-PBE)

Data for crystalline Zr2WCl at its relaxed geometry.

Summary:
The energy comes out at -7.227 eV per atom. Its mass density is 8.58 g/cm3. The total magnetic moment is 0.000 μB/atom. Its energy above the most stable polymorph in this dataset is 1186 meV/atom. For the density of states at the Fermi level, the calculation gives 1.191 states/eV/atom. The crystal system is cubic.

Lattice parameters (Å, degrees): 6.776 6.776 6.776 90.00 90.00 90.00
Element x y z (fractional)
Zr 0.000 0.000 0.000
Zr 0.000 0.500 0.500
Zr 0.250 0.250 0.250
Zr 0.250 0.750 0.750
Zr 0.500 0.000 0.500
Zr 0.500 0.500 0.000
Zr 0.750 0.250 0.750
Zr 0.750 0.750 0.250
W 0.000 0.000 0.500
W 0.000 0.500 0.000
W 0.500 0.000 0.000
W 0.500 0.500 0.500
Cl 0.250 0.250 0.750
Cl 0.250 0.750 0.250
Cl 0.750 0.250 0.250
Cl 0.750 0.750 0.750